Entry from Alexandria: crystalline AlCu2 at its relaxed geometry (PBEsol).

Lattice parameters (Å, degrees): 2.7334 4.8670 5.9970 103.57 90.00 106.31
Fractional positions:
Al  0.9961  0.9922  0.9917
Al  0.6804  0.3609  0.3572
Cu  0.3344  0.6689  0.6733
Cu  0.3902  0.7803  0.2688
Cu  0.0498  0.0996  0.6017
Cu  0.7157  0.4314  0.9407

Output
* M_tot: 0.0 μB/cell
* DFT total energy: -4.41 eV/atom
* energy of formation from the pure elements: -0.162 eV/atom


Entry from Alexandria: crystalline ZnMoP2 at its relaxed geometry (PBEsol).

Lattice parameters (Å, degrees): 3.1859 4.1485 4.8314 115.42 109.25 90.00
Fractional positions:
Mo  0.2507  0.7507  0.5014
P  0.0186  0.0186  0.0373
P  0.7481  0.2481  0.4962
Zn  0.4825  0.4825  0.9651

Output
* M_tot: 0.0 μB/cell
* DFT total energy: -6.15 eV/atom
* energy of formation from the pure elements: 0.086 eV/atom


Entry from Alexandria: crystalline Be2AlRh at its relaxed geometry (PBEsol).

Lattice parameters (Å, degrees): 2.9061 2.9061 5.2534 90.00 90.00 90.00
Fractional positions:
Be  0.0000  0.0000  0.0323
Be  0.5000  0.5000  0.2418
Rh  0.0000  0.0000  0.4732
Al  0.5000  0.5000  0.7527

Output
* M_tot: 0.0 μB/cell
* DFT total energy: -5.45 eV/atom
* energy of formation from the pure elements: -0.393 eV/atom


Entry from Alexandria: crystalline LaCuSe3 at its relaxed geometry (PBEsol).

Lattice parameters (Å, degrees): 5.6388 5.6388 5.6388 90.00 90.00 90.00
Fractional positions:
Cu  0.5000  0.5000  0.5000
Se  0.0000  0.5000  0.0000
Se  0.0000  0.0000  0.5000
Se  0.5000  0.0000  0.0000
La  0.0000  0.0000  0.0000

Output
* M_tot: 0.0 μB/cell
* E_form (uncorrected): 266 meV/atom
* DFT total energy: -3.98 eV/atom


Entry from Alexandria: crystalline ZrInMo2 at its relaxed geometry (PBEsol).

Lattice parameters (Å, degrees): 2.7571 4.4708 5.8504 90.00 90.00 90.00
Fractional positions:
In  0.5000  0.5000  0.5000
Mo  0.0000  0.0000  0.7314
Mo  0.0000  0.0000  0.2686
Zr  0.5000  0.5000  0.0000

Output
* M_tot: 0.0 μB/cell
* DFT total energy: -8.57 eV/atom
* energy of formation from the pure elements: 0.335 eV/atom


Entry from Alexandria: crystalline Mg2SbCl at its relaxed geometry (PBEsol).

Lattice parameters (Å, degrees): 4.2532 4.2184 5.3196 90.00 90.00 89.98
Fractional positions:
Cl  0.1247  0.8968  0.5000
Mg  0.1253  0.9293  0.0000
Mg  0.6248  0.2344  0.5000
Sb  0.6252  0.4396  0.0000

Output
* M_tot: 0.0 μB/cell
* E_form (uncorrected): -783 meV/atom
* DFT total energy: -3.28 eV/atom


Entry from Alexandria: crystalline TaAgPt2 at its relaxed geometry (PBEsol).

Lattice parameters (Å, degrees): 3.4532 3.4532 5.4232 90.00 90.00 90.00
Fractional positions:
Ag  0.5000  0.5000  0.7620
Pt  0.0000  0.0000  0.9944
Pt  0.5000  0.5000  0.2659
Ta  0.0000  0.0000  0.4777

Output
* M_tot: 0.0 μB/cell
* DFT total energy: -7.64 eV/atom
* energy of formation from the pure elements: -0.196 eV/atom


Entry from Alexandria: crystalline Sc2CuMoF at its relaxed geometry (PBEsol).

Lattice parameters (Å, degrees): 4.9264 4.9264 4.5091 90.00 90.00 90.00
Fractional positions:
Sc  0.0000  0.5000  0.0000
Sc  0.5000  0.0000  0.0000
Mo  0.0000  0.0000  0.5000
Cu  0.0000  0.0000  0.0000
F  0.5000  0.5000  0.5000

Output
* M_tot: 2.2 μB/cell
* E_form (uncorrected): 536 meV/atom
* DFT total energy: -5.71 eV/atom


Number 6 is which compound? Mg2SbCl